{
  "formula": "Nd2TlRh",
  "functional": "GGA-PBE",
  "state": "optimized geometry",
  "polymorph_energy_ev_per_fu": 0.255,
  "rho_kg_m3": 8337,
  "dft_energy_ev_per_atom": -5.268,
  "e_form_mev_per_atom": -455,
  "m_tot_mub_per_cell": 0.000,
  "cell": [[2.0320, 1.1732, 8.2945], [-2.0320, 1.1732, 8.2945], [0.0000, -2.3463, 8.2945]],
  "species": ["Nd", "Nd", "Tl", "Rh"],
  "fractional_positions": [[0.0000, 0.0000, 0.0000], [0.2032, 0.2032, 0.2032], [0.7684, 0.7684, 0.7684], [0.6020, 0.6020, 0.6020]]
}